A plane-wave DFT calculation with PBE was carried out for an optimized crystal structure of Pa2TaSi4Pt3.

a = 4.175 Å, b = 4.175 Å, c = 10.217 Å
α = 90.00°, β = 90.00°, γ = 90.00°
Space group P-4m2 (No. 115)
Unique sites:
Pa 0.000 0.500 0.248 x2
Ta 0.000 0.000 0.500 x1
Si 0.000 0.000 0.000 x1
Si 0.000 0.500 0.648 x2
Si 0.500 0.500 0.000 x1
Pt 0.000 0.500 0.882 x2
Pt 0.500 0.500 0.500 x1

- Magnetization: 0.00 μB per cell
- N(E_F): 10.97 states/eV/f.u.
- Energy relative to the elements, uncorrected: -0.817 eV per atom